{"formula": "DyZrCdRu", "functional": "PBE", "state": "optimized geometry", "lattice": [[-2.123, 4.346, 0.891], [-4.826, 0.579, -0.750], [-3.040, 0.512, 3.831]], "species": ["Ru", "Cd", "Zr", "Dy"], "fractional_positions": [[0.250, 0.250, 0.250], [0.750, 0.750, 0.750], [0.000, 0.000, 0.000], [0.500, 0.500, 0.500]], "total_energy_ev_per_fu": -24.21, "space_group": "No. 216", "formation_enthalpy_0k_mev_per_atom": -218}


{"formula": "Dy3CdS6", "functional": "PBE", "state": "optimized geometry", "lattice": [[6.754, 0.000, 0.000], [0.000, 8.384, 0.169], [0.000, -1.707, 8.210]], "species": ["Dy", "Dy", "Dy", "Dy", "Dy", "Dy", "Cd", "Cd", "S", "S", "S", "S", "S", "S", "S", "S", "S", "S", "S", "S"], "fractional_positions": [[0.482, 0.917, 0.719], [0.982, 0.719, 0.917], [0.391, 0.401, 0.599], [0.891, 0.599, 0.401], [0.982, 0.083, 0.281], [0.482, 0.281, 0.083], [0.001, 0.203, 0.797], [0.501, 0.797, 0.203], [0.185, 0.697, 0.629], [0.685, 0.629, 0.697], [0.216, 0.452, 0.905], [0.716, 0.905, 0.452], [0.193, 0.029, 0.971], [0.636, 0.226, 0.774], [0.136, 0.774, 0.226], [0.693, 0.971, 0.029], [0.216, 0.095, 0.548], [0.716, 0.548, 0.095], [0.185, 0.371, 0.303], [0.685, 0.303, 0.371]], "total_energy_ev_per_fu": -55.21, "formation_energy_uncorrected_mev_per_atom": -1572, "space_group": "No. 36"}


{"formula": "Dy3CdS", "functional": "PBE", "state": "optimized geometry", "lattice": [[-2.860, -1.508, 2.141], [5.902, -5.709, 3.861], [2.705, 10.008, 10.663]], "species": ["Dy", "Dy", "Dy", "Dy", "Dy", "Dy", "Dy", "Dy", "Dy", "Dy", "Dy", "Dy", "Cd", "Cd", "Cd", "Cd", "S", "S", "S", "S"], "fractional_positions": [[0.750, 0.208, 0.284], [0.250, 0.665, 0.983], [0.250, 0.027, 0.110], [0.250, 0.527, 0.390], [0.250, 0.165, 0.517], [0.750, 0.473, 0.610], [0.250, 0.292, 0.784], [0.750, 0.973, 0.890], [0.750, 0.335, 0.017], [0.750, 0.708, 0.216], [0.750, 0.835, 0.483], [0.250, 0.792, 0.716], [0.250, 0.932, 0.324], [0.750, 0.068, 0.676], [0.750, 0.568, 0.824], [0.250, 0.432, 0.176], [0.250, 0.663, 0.553], [0.750, 0.337, 0.447], [0.750, 0.837, 0.053], [0.250, 0.163, 0.947]], "total_energy_ev_per_fu": -23.40, "formation_energy_uncorrected_mev_per_atom": -910, "space_group": "No. 62", "e_above_lowest_polymorph_mev_per_atom": 0}


{"formula": "DyCdS3", "functional": "PBE", "state": "optimized geometry", "lattice": [[-3.506, 0.934, -1.980], [0.478, -6.108, -3.727], [-5.329, -1.671, 8.650]], "species": ["Dy", "Dy", "Cd", "Cd", "S", "S", "S", "S", "S", "S"], "fractional_positions": [[0.250, 0.240, 0.179], [0.750, 0.760, 0.821], [0.250, 0.150, 0.662], [0.750, 0.850, 0.338], [0.250, 0.045, 0.899], [0.750, 0.955, 0.101], [0.250, 0.081, 0.386], [0.750, 0.919, 0.614], [0.250, 0.515, 0.770], [0.750, 0.485, 0.230]], "total_energy_ev_per_fu": -22.93, "formation_energy_uncorrected_mev_per_atom": -1007, "space_group": "No. 11"}


{"formula": "DyCdS2", "functional": "PBE", "state": "optimized geometry", "lattice": [[3.976, 0.000, 0.000], [1.988, 3.443, 0.000], [1.988, 1.148, 8.167]], "species": ["S", "S", "Cd", "Dy"], "fractional_positions": [[0.106, 0.106, 0.682], [0.894, 0.894, 0.318], [0.000, 0.000, 0.000], [0.500, 0.500, 0.500]], "total_energy_ev_per_fu": -18.66, "formation_energy_uncorrected_mev_per_atom": -1221, "space_group": "No. 166"}


{"formula": "Dy4CdS2", "functional": "PBE", "state": "optimized geometry", "lattice": [[3.969, 0.000, 0.000], [-1.984, 6.472, 0.000], [0.000, 0.000, 13.624]], "species": ["Dy", "Dy", "Dy", "Dy", "Dy", "Dy", "Dy", "Dy", "Cd", "Cd", "S", "S", "S", "S"], "fractional_positions": [[0.766, 0.532, 0.116], [0.766, 0.532, 0.384], [0.234, 0.468, 0.884], [0.234, 0.468, 0.616], [0.930, 0.859, 0.750], [0.070, 0.141, 0.250], [0.500, 0.000, 0.000], [0.500, 0.000, 0.500], [0.611, 0.221, 0.750], [0.389, 0.779, 0.250], [0.134, 0.269, 0.442], [0.866, 0.731, 0.942], [0.134, 0.269, 0.058], [0.866, 0.731, 0.558]], "total_energy_ev_per_fu": -36.26, "formation_energy_uncorrected_mev_per_atom": -1241, "space_group": "No. 63"}


{"formula": "Dy3CdS", "functional": "PBE", "state": "optimized geometry", "lattice": [[-0.282, -4.253, -2.937], [4.292, 1.446, -2.506], [2.880, -2.572, 3.448]], "species": ["S", "Cd", "Dy", "Dy", "Dy"], "fractional_positions": [[0.000, 0.000, 0.000], [0.500, 0.500, 0.500], [0.000, 0.500, 0.000], [0.000, 0.000, 0.500], [0.500, 0.000, 0.000]], "total_energy_ev_per_fu": -22.69, "formation_energy_uncorrected_mev_per_atom": -769, "space_group": "No. 221", "e_above_lowest_polymorph_mev_per_atom": 141}


{"formula": "Sr2DyCdS4", "functional": "PBE", "state": "optimized geometry", "lattice": [[-1.622, -2.546, 2.766], [5.660, -4.535, -0.856], [1.398, 4.628, 5.078]], "species": ["Sr", "Sr", "Dy", "Cd", "S", "S", "S", "S"], "fractional_positions": [[0.500, 0.000, 0.500], [0.000, 0.500, 0.500], [0.500, 0.500, 0.000], [0.000, 0.000, 0.000], [0.500, 0.252, 0.225], [0.500, 0.748, 0.775], [0.000, 0.265, 0.769], [0.000, 0.735, 0.231]], "total_energy_ev_per_fu": -38.57, "formation_energy_uncorrected_mev_per_atom": -1648, "space_group": "No. 10"}


{"formula": "Dy2CdSb4", "functional": "PBE", "state": "optimized geometry", "lattice": [[4.309, 0.000, 0.000], [0.000, 4.309, 0.000], [0.000, 0.000, 10.605]], "species": ["Dy", "Dy", "Cd", "Sb", "Sb", "Sb", "Sb"], "fractional_positions": [[0.500, 0.000, 0.731], [0.000, 0.500, 0.269], [0.500, 0.500, 0.000], [0.500, 0.000, 0.181], [0.000, 0.500, 0.819], [0.500, 0.500, 0.500], [0.000, 0.000, 0.500]], "total_energy_ev_per_fu": -31.01, "formation_energy_uncorrected_mev_per_atom": -629, "space_group": "No. 115"}


{"formula": "Dy2CdSb", "functional": "PBE", "state": "optimized geometry", "lattice": [[3.926, 0.000, 0.000], [0.000, 3.926, 0.000], [0.000, 0.000, 6.860]], "species": ["Sb", "Cd", "Dy", "Dy"], "fractional_positions": [[0.500, 0.500, 0.000], [0.500, 0.500, 0.500], [0.000, 0.000, 0.756], [0.000, 0.000, 0.244]], "total_energy_ev_per_fu": -16.67, "formation_energy_uncorrected_mev_per_atom": -607, "space_group": "No. 123", "e_above_lowest_polymorph_mev_per_atom": 0}


{"formula": "DyCd2Sb", "functional": "PBE", "state": "optimized geometry", "lattice": [[3.339, 0.000, 0.000], [1.669, 2.892, 0.000], [1.669, 0.964, 11.541]], "species": ["Sb", "Cd", "Cd", "Dy"], "fractional_positions": [[0.500, 0.500, 0.500], [0.090, 0.090, 0.731], [0.910, 0.910, 0.269], [0.000, 0.000, 0.000]], "total_energy_ev_per_fu": -9.75, "formation_energy_uncorrected_mev_per_atom": 201, "space_group": "No. 166"}


{"formula": "Dy2CdSb", "functional": "PBE", "state": "optimized geometry", "lattice": [[-0.324, 1.117, -4.062], [1.966, -2.264, -2.977], [-5.703, -4.849, -3.077]], "species": ["Sb", "Cd", "Dy", "Dy"], "fractional_positions": [[0.000, 0.000, 0.000], [0.500, 0.500, 0.500], [0.256, 0.256, 0.233], [0.744, 0.744, 0.767]], "total_energy_ev_per_fu": -16.43, "formation_energy_uncorrected_mev_per_atom": -546, "space_group": "No. 166", "e_above_lowest_polymorph_mev_per_atom": 61}


{"formula": "Dy3CdSb", "functional": "PBE", "state": "optimized geometry", "lattice": [[5.114, 0.000, 0.000], [0.000, 7.903, 0.000], [0.000, -3.951, 7.640]], "species": ["Dy", "Dy", "Dy", "Dy", "Dy", "Dy", "Cd", "Cd", "Sb", "Sb"], "fractional_positions": [[0.500, 0.320, 0.000], [0.000, 0.837, 0.675], [0.500, 0.680, 0.000], [0.500, 0.500, 0.500], [0.000, 0.163, 0.325], [0.500, 0.000, 0.500], [0.500, 0.090, 0.179], [0.500, 0.910, 0.821], [0.000, 0.633, 0.266], [0.000, 0.367, 0.734]], "total_energy_ev_per_fu": -19.20, "formation_energy_uncorrected_mev_per_atom": -72, "space_group": "No. 65"}


{"formula": "DyCd2Sb", "functional": "PBE", "state": "optimized geometry", "lattice": [[5.094, 0.000, 0.000], [0.000, 4.413, 0.000], [0.000, 0.000, 4.413]], "species": ["Sb", "Cd", "Cd", "Dy"], "fractional_positions": [[0.500, 0.500, 0.500], [0.000, 0.000, 0.500], [0.000, 0.500, 0.000], [0.500, 0.000, 0.000]], "total_energy_ev_per_fu": -12.39, "formation_energy_uncorrected_mev_per_atom": -459, "space_group": "No. 123"}


{"formula": "Dy7Cd2Sb2", "functional": "PBE", "state": "optimized geometry", "lattice": [[6.817, -0.003, -0.736], [0.003, 7.560, 0.003], [-1.160, -0.003, 6.757]], "species": ["Dy", "Dy", "Dy", "Dy", "Dy", "Dy", "Dy", "Cd", "Cd", "Sb", "Sb"], "fractional_positions": [[0.000, 0.281, 0.500], [0.500, 0.719, 0.000], [0.000, 0.719, 0.500], [0.500, 0.281, 0.000], [0.000, 0.000, 0.000], [0.500, 0.728, 0.500], [0.500, 0.272, 0.500], [0.828, 0.500, 0.828], [0.172, 0.500, 0.172], [0.714, 0.000, 0.286], [0.286, 0.000, 0.714]], "total_energy_ev_per_fu": -45.16, "formation_energy_uncorrected_mev_per_atom": -261, "space_group": "No. 65"}


{"formula": "DyScCd", "functional": "PBE", "state": "optimized geometry", "lattice": [[3.459, 0.000, 0.000], [0.000, 3.459, 0.000], [-1.730, -1.730, 6.407]], "species": ["Sc", "Dy", "Cd"], "fractional_positions": [[0.321, 0.321, 0.643], [0.003, 0.003, 0.007], [0.675, 0.675, 0.350]], "total_energy_ev_per_fu": -12.37, "space_group": "No. 107", "e_above_lowest_polymorph_mev_per_atom": 0, "formation_enthalpy_0k_mev_per_atom": -175}


{"formula": "DyScCd14", "functional": "PBE", "state": "optimized geometry", "lattice": [[-5.601, -0.800, -3.259], [-2.424, -3.424, 5.003], [-3.013, 7.140, 3.426]], "species": ["Dy", "Sc", "Cd", "Cd", "Cd", "Cd", "Cd", "Cd", "Cd", "Cd", "Cd", "Cd", "Cd", "Cd", "Cd", "Cd"], "fractional_positions": [[0.875, 0.875, 0.500], [0.375, 0.375, 0.500], [0.875, 0.875, 0.000], [0.375, 0.375, 0.000], [0.875, 0.375, 0.500], [0.875, 0.375, 0.000], [0.375, 0.875, 0.500], [0.375, 0.875, 0.000], [0.621, 0.129, 0.246], [0.621, 0.129, 0.754], [0.129, 0.621, 0.246], [0.129, 0.621, 0.754], [0.621, 0.621, 0.246], [0.621, 0.621, 0.754], [0.129, 0.129, 0.247], [0.129, 0.129, 0.753]], "total_energy_ev_per_fu": -25.64, "space_group": "No. 123", "formation_enthalpy_0k_mev_per_atom": -118}


{"formula": "Dy3ScCd6", "functional": "PBE", "state": "optimized geometry", "lattice": [[-2.062, 3.405, 3.174], [-7.894, -4.453, -0.353], [5.449, -4.460, 8.324]], "species": ["Dy", "Dy", "Dy", "Dy", "Dy", "Dy", "Sc", "Sc", "Cd", "Cd", "Cd", "Cd", "Cd", "Cd", "Cd", "Cd", "Cd", "Cd", "Cd", "Cd"], "fractional_positions": [[0.250, 0.532, 0.394], [0.750, 0.468, 0.606], [0.250, 0.348, 0.784], [0.750, 0.652, 0.216], [0.250, 0.761, 0.003], [0.750, 0.239, 0.997], [0.250, 0.948, 0.600], [0.750, 0.052, 0.400], [0.250, 0.451, 0.092], [0.750, 0.549, 0.908], [0.250, 0.146, 0.185], [0.750, 0.854, 0.815], [0.250, 0.670, 0.704], [0.750, 0.330, 0.296], [0.250, 0.228, 0.486], [0.750, 0.772, 0.514], [0.250, 0.865, 0.312], [0.750, 0.135, 0.688], [0.250, 0.048, 0.885], [0.750, 0.952, 0.115]], "total_energy_ev_per_fu": -28.39, "space_group": "No. 11", "formation_enthalpy_0k_mev_per_atom": -276}


{"formula": "DyScCd4", "functional": "PBE", "state": "optimized geometry", "lattice": [[5.823, 0.000, 0.000], [2.911, 5.043, 0.000], [2.911, 1.681, 4.754]], "species": ["Sc", "Cd", "Cd", "Cd", "Cd", "Dy"], "fractional_positions": [[0.000, 0.000, 0.000], [0.625, 0.625, 0.125], [0.625, 0.125, 0.625], [0.625, 0.625, 0.625], [0.125, 0.625, 0.625], [0.250, 0.250, 0.250]], "total_energy_ev_per_fu": -15.78, "space_group": "No. 216", "e_above_lowest_polymorph_mev_per_atom": 70, "formation_enthalpy_0k_mev_per_atom": -198}


{"formula": "DySc2Cd", "functional": "PBE", "state": "optimized geometry", "lattice": [[-0.687, 0.318, 3.309], [-2.464, -2.317, -0.289], [5.727, -6.316, 1.796]], "species": ["Sc", "Sc", "Cd", "Dy"], "fractional_positions": [[0.000, 0.000, 0.776], [0.000, 0.000, 0.224], [0.500, 0.500, 0.000], [0.500, 0.500, 0.500]], "total_energy_ev_per_fu": -18.64, "space_group": "No. 123", "e_above_lowest_polymorph_mev_per_atom": 11, "formation_enthalpy_0k_mev_per_atom": -116}


{"formula": "DyScCd3", "functional": "PBE", "state": "optimized geometry", "lattice": [[3.343, 0.000, -0.460], [0.000, 4.881, 0.000], [0.298, 0.000, 14.536]], "species": ["Dy", "Dy", "Sc", "Sc", "Cd", "Cd", "Cd", "Cd", "Cd", "Cd"], "fractional_positions": [[0.924, 0.750, 0.847], [0.076, 0.250, 0.153], [0.217, 0.750, 0.434], [0.783, 0.250, 0.566], [0.625, 0.750, 0.250], [0.375, 0.250, 0.750], [0.525, 0.750, 0.050], [0.475, 0.250, 0.950], [0.680, 0.250, 0.360], [0.320, 0.750, 0.640]], "total_energy_ev_per_fu": -15.03, "space_group": "No. 63", "formation_enthalpy_0k_mev_per_atom": -270}


{"formula": "Dy3Sc3Cd2", "functional": "PBE", "state": "optimized geometry", "lattice": [[-2.466, 1.592, -4.048], [-3.498, -0.560, 4.999], [3.120, 14.528, 3.812]], "species": ["Dy", "Dy", "Dy", "Dy", "Dy", "Dy", "Sc", "Sc", "Sc", "Sc", "Sc", "Sc", "Cd", "Cd", "Cd", "Cd"], "fractional_positions": [[0.953, 0.907, 0.394], [0.047, 0.093, 0.894], [0.953, 0.907, 0.106], [0.047, 0.093, 0.606], [0.719, 0.437, 0.250], [0.281, 0.563, 0.750], [0.639, 0.277, 0.463], [0.361, 0.723, 0.963], [0.639, 0.277, 0.037], [0.361, 0.723, 0.537], [0.438, 0.876, 0.250], [0.562, 0.124, 0.750], [0.767, 0.533, 0.874], [0.233, 0.467, 0.374], [0.767, 0.533, 0.626], [0.233, 0.467, 0.126]], "total_energy_ev_per_fu": -35.00, "space_group": "No. 63", "formation_enthalpy_0k_mev_per_atom": -46}


{"formula": "DySc2Cd", "functional": "PBE", "state": "optimized geometry", "lattice": [[4.656, 0.000, 0.000], [0.000, 4.618, 0.000], [0.000, 0.000, 4.618]], "species": ["Sc", "Sc", "Cd", "Dy"], "fractional_positions": [[0.000, 0.000, 0.500], [0.000, 0.500, 0.000], [0.500, 0.500, 0.500], [0.500, 0.000, 0.000]], "total_energy_ev_per_fu": -18.55, "space_group": "No. 123", "e_above_lowest_polymorph_mev_per_atom": 34, "formation_enthalpy_0k_mev_per_atom": -93}